Entry 1:
Rb3MgI6 | PBE | relaxed

Unit cell a=6.8863 b=12.7834 c=12.7834 alpha=104.58 beta=90.00 gamma=90.00
Sites, in units of the cell vectors:
I1 0.2126 0.3403 0.3358
I2 0.6653 0.8756 0.4175
I3 0.7126 0.6597 0.6642
I4 0.1459 0.0756 0.9244
I5 0.1516 0.7863 0.2137
I6 0.1653 0.1244 0.5825
I7 0.6459 0.9244 0.0756
I8 0.7126 0.3358 0.3403
I9 0.2126 0.6642 0.6597
I10 0.1653 0.4175 0.8756
I11 0.6516 0.2137 0.7863
I12 0.6653 0.5825 0.1244
Rb1 0.9688 0.6970 0.9369
Rb2 0.9481 0.6176 0.3824
Rb3 0.9688 0.0631 0.3030
Rb4 0.4688 0.3030 0.0631
Rb5 0.4688 0.9369 0.6970
Rb6 0.4481 0.3824 0.6176
Mg1 0.5461 0.7929 0.2071
Mg2 0.0461 0.2071 0.7929

Calculated values
Its density of states at the Fermi level is 3.8 states/eV per cell. As for the total magnetization: 0.00 μB per formula unit.

Entry 2:
GdGa2Tc | PBE | relaxed

Unit cell a=3.0337 b=3.0337 c=10.1688 alpha=81.42 beta=81.42 gamma=60.00
Sites, in units of the cell vectors:
Tc1 0.0000 0.0000 0.0000
Ga1 0.3995 0.3995 0.8014
Ga2 0.6005 0.6005 0.1986
Gd1 0.5000 0.5000 0.5000

Calculated values
The formation energy is 5.5 kcal/mol of atoms. Its density of states at the Fermi level is 2.8 states/eV per cell. As for the total magnetization: 7.23 μB per formula unit.

Entry 3:
AsWCl2 | PBE | relaxed

Unit cell a=4.4193 b=4.1442 c=4.1442 alpha=90.00 beta=90.00 gamma=90.00
Sites, in units of the cell vectors:
As1 0.5000 0.0000 0.5000
Cl1 0.0000 0.5000 0.5000
Cl2 0.0000 0.0000 0.0000
W1 0.5000 0.5000 0.0000

Calculated values
Its density of states at the Fermi level is 2.7 states/eV per cell. As for the total magnetization: 2.58 μB per formula unit.

| no. | energy relative to the lowest polymorph listed for this composition (meV/atom) | E (eV/atom) |
| --- | --- | --- |
| 1 | 0 | -2.567 |
| 2 | 545 | -7.388 |
| 3 | 1342 | -4.234 |